Density functional theory data (GGA-PBE) for a relaxed structure of Th4GeTe2P.

It has space group P2/m (No. 10), with a = 7.4045 Å, b = 4.2786 Å, c = 7.7953 Å, α = 90.00°, β = 108.59° and γ = 90.00°. Symmetry generates all atoms from Th at (0.2273, 0.0000, 0.2091), Th at (0.2512, 0.5000, 0.7875), Ge at (0.5000, 0.0000, 0.0000), Te at (0.0000, 0.0000, 0.5000), Te at (0.5000, 0.5000, 0.5000) and P at (0.0000, 0.5000, 0.0000).

The value obtained for the calculated density is 9.13 g cm⁻³. The energy comes out at -55.47 eV for the cell shown.



Density functional theory data (GGA-PBE) for a relaxed structure of Th4Ge2TeP.

It has space group P2/m (No. 10), with a = 7.4153 Å, b = 4.3024 Å, c = 7.5382 Å, α = 90.00°, β = 109.30° and γ = 90.00°. Symmetry generates all atoms from Th at (0.2348, 0.0000, 0.2279), Th at (0.2468, 0.5000, 0.7646), Ge at (0.0000, 0.0000, 0.5000), Ge at (0.0000, 0.5000, 0.0000), Te at (0.5000, 0.5000, 0.5000) and P at (0.5000, 0.0000, 0.0000).

The value obtained for the calculated density is 9.01 g cm⁻³. The energy comes out at -55.86 eV for the cell shown.



Density functional theory data (GGA-PBE) for a relaxed structure of Th6Ge2Te3P.

It has space group C2/m (No. 12), with a = 19.2623 Å, b = 4.3240 Å, c = 8.8507 Å, α = 90.00°, β = 105.78° and γ = 90.00°. Symmetry generates all atoms from Th at (0.0049, 0.0000, 0.2201), Th at (0.1542, 0.5000, 0.0959), Th at (0.1746, 0.5000, 0.5635), Ge at (0.1651, 0.0000, 0.3303), Te at (0.0000, 0.5000, 0.5000), Te at (0.1696, 0.0000, 0.8328) and P at (0.0000, 0.5000, 0.0000).

The value obtained for the calculated density is 9.13 g cm⁻³. The energy comes out at -164.18 eV for the cell shown.



Density functional theory data (GGA-PBE) for a relaxed structure of Th6Ge3TeP2.

It has space group C2/m (No. 12), with a = 18.6095 Å, b = 4.2813 Å, c = 8.5774 Å, α = 90.00°, β = 102.61° and γ = 90.00°. Symmetry generates all atoms from Th at (0.0054, 0.0000, 0.2712), Th at (0.1688, 0.5000, 0.5798), Th at (0.1753, 0.5000, 0.0946), Ge at (0.0000, 0.5000, 0.5000), Ge at (0.1615, 0.0000, 0.8336), Te at (0.0000, 0.5000, 0.0000) and P at (0.1682, 0.0000, 0.3342).

The value obtained for the calculated density is 8.96 g cm⁻³. The energy comes out at -170.73 eV for the cell shown.



calculated density of number 1 (Th4GeTe2P)? 9.13 g cm⁻³



What is the formula in the first record? Th4GeTe2P



What did the fourth record say?
Density functional theory data (GGA-PBE) for a relaxed structure of Th6Ge3TeP2.

It has space group C2/m (No. 12), with a = 18.6095 Å, b = 4.2813 Å, c = 8.5774 Å, α = 90.00°, β = 102.61° and γ = 90.00°. Symmetry generates all atoms from Th at (0.0054, 0.0000, 0.2712), Th at (0.1688, 0.5000, 0.5798), Th at (0.1753, 0.5000, 0.0946), Ge at (0.0000, 0.5000, 0.5000), Ge at (0.1615, 0.0000, 0.8336), Te at (0.0000, 0.5000, 0.0000) and P at (0.1682, 0.0000, 0.3342).

The value obtained for the calculated density is 8.96 g cm⁻³. The energy comes out at -170.73 eV for the cell shown.



What is the formula in the fourth record? Th6Ge3TeP2